# 1
NaIr4Au3O12, optimized geometry, DFT PBE-GGA; total DFT energy (no corrections) = -5.7974 eV/atom
1.0
-3.821 3.821 3.821
3.821 -3.821 3.821
3.821 3.821 -3.821
O Au Ir Na
12 3 4 1
direct
0.175 0.702 0.877
0.825 0.298 0.123
0.702 0.527 0.825
0.298 0.123 0.825
0.877 0.175 0.702
0.175 0.298 0.473
0.527 0.825 0.702
0.473 0.175 0.298
0.702 0.877 0.175
0.298 0.473 0.175
0.123 0.825 0.298
0.825 0.702 0.527
0.000 0.500 0.500
0.500 0.000 0.500
0.500 0.500 0.000
0.500 0.000 0.000
0.000 0.500 0.000
0.000 0.000 0.500
0.500 0.500 0.500
0.000 0.000 0.000

---

# 2
NaIrAuS3, optimized geometry, DFT PBE-GGA; total DFT energy (no corrections) = -4.6105 eV/atom
1.0
-5.536 3.869 -3.545
-3.797 2.286 -6.207
-5.677 -7.457 0.726
S Au Na Ir
6 2 2 2
direct
0.390 0.390 0.490
0.390 0.390 0.010
0.610 0.610 0.990
0.045 0.045 0.250
0.610 0.610 0.510
0.955 0.955 0.750
0.364 0.364 0.250
0.636 0.636 0.750
0.703 0.703 0.250
0.297 0.297 0.750
0.000 0.000 0.000
0.000 0.000 0.500

---

# 3
NaIrAu3S4, optimized geometry, DFT PBE-GGA; total DFT energy (no corrections) = -3.9422 eV/atom
1.0
-4.123 4.073 -1.892
-1.365 -3.583 -4.739
-4.278 -2.781 3.335
Na Au Ir S
1 3 1 4
direct
0.000 0.000 0.000
0.000 0.500 0.500
0.500 0.000 0.500
0.500 0.500 0.000
0.500 0.500 0.500
0.721 0.721 0.279
0.721 0.279 0.721
0.279 0.279 0.279
0.279 0.721 0.721

---

# 4
NaIrAuSeS2, optimized geometry, DFT PBE-GGA; total DFT energy (no corrections) = -4.5327 eV/atom
1.0
1.771 -7.519 0.000
1.771 7.519 0.000
0.000 0.000 9.734
S Se Ir Au Na
4 2 2 2 2
direct
0.392 0.608 0.485
0.392 0.608 0.015
0.608 0.392 0.515
0.608 0.392 0.985
0.948 0.052 0.750
0.052 0.948 0.250
0.000 0.000 0.500
0.000 0.000 0.000
0.629 0.371 0.750
0.371 0.629 0.250
0.287 0.713 0.750
0.713 0.287 0.250

---

no.,volume (Å³/cell)
1,223
2,248
3,227
4,259